Computed, not measured: an optimized crystal structure of Pu5PdAu2 at the PBE level of DFT.

Properties
total energy	-84.9	eV/cell

```
data_Pu5PdAu2
_chemical_formula_sum 'Pu5 Pd1 Au2'
_cell_length_a 6.216
_cell_length_b 6.216
_cell_length_c 6.059
_cell_angle_alpha 108.46
_cell_angle_beta 108.47
_cell_angle_gamma 110.45
_space_group_name_H-M_alt 'P 1'
_space_group_IT_number 1
_space_group_name_Hall 'P 1'
loop_
_atom_site_label
_atom_site_type_symbol
_atom_site_fract_x
_atom_site_fract_y
_atom_site_fract_z
Pu1 Pu 0.278 0.278 0.500
Pu2 Pu 0.278 0.778 0.000
Pu3 Pu 0.778 0.278 0.000
Pu4 Pu 0.778 0.778 0.500
Pu5 Pu 0.278 0.277 0.000
Pd1 Pd 0.778 0.778 0.000
Au1 Au 0.278 0.778 0.500
Au2 Au 0.778 0.278 0.500
```